! Al2ReRu | Alexandria via LeMat-Bulk | GGA-PBE | optimized geometry; values from VASP
! Energy of formation from the pure elements   -0.725 eV per formula unit
! Crystal system   trigonal
! VASP energy   -7.48 eV/atom
&SYSTEM
  ibrav = 0, nat = 4, ntyp = 3
/
ATOMIC_SPECIES
Re 186.21 Re.upf
Al 26.98 Al.upf
Ru 101.07 Ru.upf
CELL_PARAMETERS angstrom
8.7756 -0.0094 -0.0055
8.3225 2.7835 -0.0055
8.3225 1.3503 2.4340
ATOMIC_POSITIONS crystal
Re 0.4971 0.4971 0.4971
Al 0.0042 0.0042 0.0042
Al 0.2479 0.2479 0.2479
Ru 0.7508 0.7508 0.7508